Record 1
A crystal of Zr2BeAs relaxed with PBEsol. Source: Alexandria via LeMat-Bulk, functional SCAN.

Unit cell a=3.623 b=3.726 c=5.271 alpha=110.70 beta=90.00 gamma=90.00
Atoms (fractional coordinates):
As: 0.000 0.557 0.114
Be: 0.500 0.700 0.400
Zr: 0.000 0.271 0.542
Zr: 0.500 0.972 0.944

## Properties
magnetic moment	0.0000	μB/atom
relative energy among the computed polymorphs	0	meV/atom
SG	No. 38
E_form	-863	meV/atom
DFT total energy	-22.35	eV/atom



Record 2
A crystal of ReSiBr relaxed with PBEsol. Source: Alexandria via LeMat-Bulk, functional SCAN.

Unit cell a=4.224 b=4.224 c=4.224 alpha=60.00 beta=60.00 gamma=60.00
Atoms (fractional coordinates):
Re: 0.500 0.500 0.500
Br: 0.000 0.000 0.000
Si: 0.250 0.250 0.250

## Properties
raw formation energy	4.60	eV/f.u.
magnetic moment	0.0000	μB/atom
SG	No. 216
DFT total energy	-31.99	eV/atom



Record 3
A crystal of Sn2ClF3 relaxed with PBEsol. Source: Alexandria via LeMat-Bulk, functional SCAN.

Unit cell a=7.693 b=7.693 c=7.693 alpha=90.00 beta=90.00 gamma=90.00
Atoms (fractional coordinates):
Cl: 0.256 0.256 0.256
Cl: 0.244 0.744 0.756
Cl: 0.756 0.244 0.744
Cl: 0.744 0.756 0.244
F: 0.877 0.368 0.378
F: 0.378 0.877 0.368
F: 0.132 0.622 0.377
F: 0.623 0.632 0.878
F: 0.377 0.132 0.622
F: 0.368 0.378 0.877
F: 0.122 0.123 0.868
F: 0.878 0.623 0.632
F: 0.868 0.122 0.123
F: 0.622 0.377 0.132
F: 0.123 0.868 0.122
F: 0.632 0.878 0.623
Sn: 0.102 0.898 0.398
Sn: 0.426 0.574 0.074
Sn: 0.602 0.602 0.602
Sn: 0.898 0.398 0.102
Sn: 0.398 0.102 0.898
Sn: 0.074 0.426 0.574
Sn: 0.574 0.074 0.426
Sn: 0.926 0.926 0.926

## Properties
raw formation energy	-12.11	eV/f.u.
magnetic moment	0.0000	μB/atom
SG	No. 198
DFT total energy	-17.09	eV/atom



Record 4
A crystal of NaZrBPb2 relaxed with PBEsol. Source: Alexandria via LeMat-Bulk, functional SCAN.

Unit cell a=4.572 b=5.050 c=5.050 alpha=90.00 beta=90.00 gamma=90.00
Atoms (fractional coordinates):
Na: 0.500 0.500 0.500
Pb: 0.000 0.000 0.500
Pb: 0.000 0.500 0.000
B: 0.000 0.000 0.000
Zr: 0.500 0.000 0.000

## Properties
magnetic moment	0.0000	μB/atom
SG	No. 123
E_form	349	meV/atom
DFT total energy	-38.43	eV/atom



Record 5
A crystal of AgMoBr2 relaxed with PBEsol. Source: Alexandria via LeMat-Bulk, functional SCAN.

Unit cell a=3.096 b=3.096 c=8.287 alpha=90.00 beta=90.00 gamma=90.00
Atoms (fractional coordinates):
Br: 0.500 0.500 0.321
Br: 0.000 0.000 0.953
Mo: 0.000 0.000 0.498
Ag: 0.500 0.500 0.728

## Properties
raw formation energy	1.43	eV/f.u.
magnetic moment	0.0019	μB/atom
relative energy among the computed polymorphs	189	meV/atom
SG	No. 99
DFT total energy	-25.93	eV/atom



Record 6
A crystal of BaSrTa4 relaxed with PBEsol. Source: Alexandria via LeMat-Bulk, functional SCAN.

Unit cell a=5.858 b=5.858 c=5.858 alpha=60.00 beta=60.00 gamma=60.00
Atoms (fractional coordinates):
Ta: 0.370 0.370 0.891
Ta: 0.370 0.891 0.370
Ta: 0.891 0.370 0.370
Ta: 0.370 0.370 0.370
Sr: 0.000 0.000 0.000
Ba: 0.750 0.750 0.750

## Properties
magnetic moment	0.0000	μB/atom
SG	No. 216
E_form	984	meV/atom
DFT total energy	-53.71	eV/atom



Record 7
A crystal of HWSN2 relaxed with PBEsol. Source: Alexandria via LeMat-Bulk, functional SCAN.

Unit cell a=2.850 b=3.823 c=3.823 alpha=90.00 beta=90.00 gamma=90.00
Atoms (fractional coordinates):
H: 0.000 0.000 0.000
S: 0.500 0.000 0.000
N: 0.000 0.000 0.500
N: 0.000 0.500 0.000
W: 0.500 0.500 0.500

## Properties
magnetic moment	0.0000	μB/atom
relative energy among the computed polymorphs	890	meV/atom
SG	No. 123
DFT total energy	-18.56	eV/atom



Record 8
A crystal of Ca4ReSi relaxed with PBEsol. Source: Alexandria via LeMat-Bulk, functional SCAN.

Unit cell a=5.807 b=5.807 c=5.807 alpha=60.00 beta=60.00 gamma=60.00
Last column: magnetic moment on the atom in μB.
Atoms (fractional coordinates):
Ca: 0.376 0.376 0.873  0.02
Ca: 0.376 0.376 0.376  0.02
Ca: 0.873 0.376 0.376  0.02
Ca: 0.376 0.873 0.376  0.02
Si: 0.000 0.000 0.000  -0.01
Re: 0.750 0.750 0.750  0.51

## Properties
raw formation energy	7.49	eV/f.u.
magnetic moment	0.1422	μB/atom
SG	No. 216
DFT total energy	-18.71	eV/atom



Record 9
A crystal of MnGaAgPt2 relaxed with PBEsol. Source: Alexandria via LeMat-Bulk, functional SCAN.

Unit cell a=4.464 b=4.909 c=4.909 alpha=90.00 beta=90.00 gamma=90.00
Last column: magnetic moment on the atom in μB.
Atoms (fractional coordinates):
Ag: 0.000 0.000 0.000  0.00
Pt: 0.000 0.500 0.000  0.04
Pt: 0.000 0.000 0.500  0.04
Ga: 0.500 0.000 0.000  0.00
Mn: 0.500 0.500 0.500  4.60

## Properties
magnetic moment	0.9852	μB/atom
SG	No. 123
E_form	955	meV/atom
DFT total energy	-40.32	eV/atom



Record 10
A crystal of Mn3ZnN relaxed with PBEsol. Source: Alexandria via LeMat-Bulk, functional SCAN.

Unit cell a=3.731 b=3.731 c=3.731 alpha=90.00 beta=90.00 gamma=90.00
Last column: magnetic moment on the atom in μB.
Atoms (fractional coordinates):
Mn: 0.500 0.000 0.500  3.03
Mn: 0.500 0.500 0.000  3.03
Mn: 0.000 0.500 0.500  3.03
Zn: 0.000 0.000 0.000  -0.14
N: 0.500 0.500 0.500  -0.07

## Properties
raw formation energy	-1.60	eV/f.u.
magnetic moment	1.7858	μB/atom
SG	No. 221
DFT total energy	-15.83	eV/atom



Record 11
A crystal of TbNi12B6 relaxed with PBEsol. Source: Alexandria via LeMat-Bulk, functional SCAN.

Unit cell a=5.957 b=5.957 c=10.851 alpha=90.00 beta=90.00 gamma=104.71
Atoms (fractional coordinates):
Ni: 0.435 0.435 0.919
Ni: 0.342 0.730 0.568
Ni: 0.658 0.270 0.068
Ni: 0.804 0.544 0.234
Ni: 0.527 0.789 0.777
Ni: 0.217 0.217 0.098
Ni: 0.783 0.783 0.598
Ni: 0.997 0.631 0.437
Ni: 0.730 0.342 0.568
Ni: 0.270 0.658 0.068
Ni: 0.369 0.003 0.937
Ni: 0.196 0.456 0.734
Ni: 0.119 0.856 0.754
Ni: 0.473 0.211 0.277
Ni: 0.144 0.881 0.254
Ni: 0.881 0.144 0.254
Ni: 0.544 0.804 0.234
Ni: 0.856 0.119 0.754
Ni: 0.003 0.369 0.937
Ni: 0.631 0.997 0.437
Ni: 0.565 0.565 0.419
Ni: 0.211 0.473 0.277
Ni: 0.789 0.527 0.777
Ni: 0.456 0.196 0.734
B: 0.487 0.487 0.155
B: 0.164 0.164 0.840
B: 0.327 0.761 0.384
B: 0.761 0.327 0.384
B: 0.012 0.597 0.623
B: 0.239 0.673 0.884
B: 0.597 0.012 0.623
B: 0.988 0.403 0.123
B: 0.513 0.513 0.655
B: 0.836 0.836 0.340
B: 0.403 0.988 0.123
B: 0.673 0.239 0.884
Tb: 0.167 0.167 0.496
Tb: 0.833 0.833 0.996

## Properties
magnetic moment	0.0000	μB/atom
SG	No. 36
E_form	-412	meV/atom
DFT total energy	-15.43	eV/atom



Record 12
A crystal of MgCo3Te relaxed with PBEsol. Source: Alexandria via LeMat-Bulk, functional SCAN.

Unit cell a=4.333 b=4.333 c=4.333 alpha=90.00 beta=90.00 gamma=90.00
Last column: magnetic moment on the atom in μB.
Atoms (fractional coordinates):
Te: 0.500 0.500 0.500  0.07
Co: 0.000 0.000 0.500  1.50
Co: 0.500 0.000 0.000  1.50
Co: 0.000 0.500 0.000  1.50
Mg: 0.000 0.000 0.000  -0.07

## Properties
raw formation energy	6.91	eV/f.u.
magnetic moment	0.8593	μB/atom
SG	No. 221
DFT total energy	-17.44	eV/atom



Record 13
A crystal of CeOs2 relaxed with PBEsol. Source: Alexandria via LeMat-Bulk, functional SCAN.

Unit cell a=5.299 b=5.299 c=8.803 alpha=90.00 beta=90.00 gamma=120.00
Atoms (fractional coordinates):
Ce: 0.667 0.333 0.930
Ce: 0.667 0.333 0.570
Ce: 0.333 0.667 0.430
Ce: 0.333 0.667 0.070
Os: 0.340 0.170 0.250
Os: 0.000 0.000 0.500
Os: 0.170 0.830 0.750
Os: 0.660 0.830 0.750
Os: 0.830 0.660 0.250
Os: 0.830 0.170 0.250
Os: 0.000 0.000 0.000
Os: 0.170 0.340 0.750

## Properties
magnetic moment	0.0000	μB/atom
SG	No. 194
E_form	-329	meV/atom
DFT total energy	-63.10	eV/atom



Record 14
A crystal of Mg2CoRe relaxed with PBEsol. Source: Alexandria via LeMat-Bulk, functional SCAN.

Unit cell a=2.762 b=2.762 c=9.115 alpha=81.29 beta=81.29 gamma=60.00
Last column: magnetic moment on the atom in μB.
Atoms (fractional coordinates):
Mg: 0.745 0.745 0.765  -0.01
Mg: 0.255 0.255 0.235  -0.01
Re: 0.500 0.500 0.500  -0.02
Co: 0.000 0.000 0.000  1.48

## Properties
magnetic moment	0.3316	μB/atom
relative energy among the computed polymorphs	98	meV/atom
SG	No. 166
E_form	253	meV/atom
DFT total energy	-24.33	eV/atom



Record 15
A crystal of Li2CdIn relaxed with PBEsol. Source: Alexandria via LeMat-Bulk, functional SCAN.

Unit cell a=5.819 b=6.067 c=6.067 alpha=76.70 beta=61.34 gamma=61.34
Atoms (fractional coordinates):
Cd: 0.500 0.000 0.000
Cd: 0.250 0.500 0.500
In: 0.750 0.500 0.500
In: 0.000 0.000 0.000
Li: 0.618 0.007 0.507
Li: 0.375 0.493 0.007
Li: 0.132 0.993 0.493
Li: 0.875 0.507 0.993

## Properties
magnetic moment	0.0000	μB/atom
SG	No. 122
E_form	-88	meV/atom
DFT total energy	-17.23	eV/atom



Record 16
A crystal of CaTaCu2Rh relaxed with PBEsol. Source: Alexandria via LeMat-Bulk, functional SCAN.

Unit cell a=4.338 b=4.338 c=4.859 alpha=90.00 beta=90.00 gamma=90.00
Last column: magnetic moment on the atom in μB.
Atoms (fractional coordinates):
Cu: 0.000 0.500 0.000  0.03
Cu: 0.500 0.000 0.000  0.03
Rh: 0.500 0.500 0.500  0.47
Ca: 0.000 0.000 0.000  0.09
Ta: 0.000 0.000 0.500  0.75

## Properties
magnetic moment	0.3222	μB/atom
SG	No. 123
E_form	2185	meV/atom
DFT total energy	-25.90	eV/atom



Record 17
A crystal of TiSnOF2 relaxed with PBEsol. Source: Alexandria via LeMat-Bulk, functional SCAN.

Unit cell a=3.864 b=4.189 c=4.189 alpha=90.00 beta=90.00 gamma=90.00
Last column: magnetic moment on the atom in μB.
Atoms (fractional coordinates):
O: 0.500 0.000 0.000  -0.06
F: 0.000 0.000 0.500  0.03
F: 0.000 0.500 0.000  0.03
Sn: 0.500 0.500 0.500  0.10
Ti: 0.000 0.000 0.000  1.09

## Properties
raw formation energy	-11.23	eV/f.u.
magnetic moment	0.2749	μB/atom
SG	No. 123
DFT total energy	-15.30	eV/atom



Record 18
A crystal of CaInP3 relaxed with PBEsol. Source: Alexandria via LeMat-Bulk, functional SCAN.

Unit cell a=5.095 b=5.095 c=5.095 alpha=90.00 beta=90.00 gamma=90.00
Atoms (fractional coordinates):
P: 0.500 0.000 0.000
P: 0.000 0.500 0.000
P: 0.000 0.000 0.500
Ca: 0.000 0.000 0.000
In: 0.500 0.500 0.500

## Properties
magnetic moment	0.0002	μB/atom
SG	No. 221
E_form	963	meV/atom
DFT total energy	-13.89	eV/atom



Record 19
A crystal of Li3MgH relaxed with PBEsol. Source: Alexandria via LeMat-Bulk, functional SCAN.

Unit cell a=4.190 b=4.190 c=4.190 alpha=90.00 beta=90.00 gamma=90.00
Atoms (fractional coordinates):
Mg: 0.500 0.500 0.500
Li: 0.000 0.000 0.500
Li: 0.500 0.000 0.000
Li: 0.000 0.500 0.000
H: 0.000 0.000 0.000

## Properties
magnetic moment	0.0005	μB/atom
SG	No. 221
DFT total energy	-3.20	eV/atom



Record 20
A crystal of HoInIr relaxed with PBEsol. Source: Alexandria via LeMat-Bulk, functional SCAN.

Unit cell a=3.892 b=7.376 c=7.376 alpha=120.00 beta=90.00 gamma=90.00
Atoms (fractional coordinates):
Ho: 0.000 0.594 0.594
Ho: 0.000 0.406 0.000
Ho: 0.000 0.000 0.406
In: 0.500 0.742 0.000
In: 0.500 0.000 0.742
In: 0.500 0.258 0.258
Ir: 0.000 0.000 0.000
Ir: 0.500 0.333 0.667
Ir: 0.500 0.667 0.333

## Properties
magnetic moment	0.0000	μB/atom
SG	No. 189
E_form	-866	meV/atom
DFT total energy	-52.02	eV/atom



Record 21
A crystal of ZrTaTe2 relaxed with PBEsol. Source: Alexandria via LeMat-Bulk, functional SCAN.

Unit cell a=3.221 b=3.221 c=9.769 alpha=90.00 beta=90.00 gamma=106.40
Atoms (fractional coordinates):
Zr: 0.000 0.000 0.484
Ta: 0.500 0.500 0.260
Te: 0.500 0.500 0.699
Te: 0.000 0.000 0.058

## Properties
raw formation energy	-0.94	eV/f.u.
magnetic moment	0.0000	μB/atom
relative energy among the computed polymorphs	52	meV/atom
SG	No. 35
DFT total energy	-43.18	eV/atom



Record 22
A crystal of Zr2Co2Rh relaxed with PBEsol. Source: Alexandria via LeMat-Bulk, functional SCAN.

Unit cell a=3.409 b=6.629 c=6.629 alpha=90.00 beta=90.00 gamma=90.00
Atoms (fractional coordinates):
Rh: 0.000 0.000 0.000
Rh: 0.000 0.500 0.500
Co: 0.000 0.620 0.120
Co: 0.000 0.880 0.620
Co: 0.000 0.380 0.880
Co: 0.000 0.120 0.380
Zr: 0.500 0.682 0.818
Zr: 0.500 0.818 0.318
Zr: 0.500 0.182 0.682
Zr: 0.500 0.318 0.182

## Properties
magnetic moment	0.0001	μB/atom
SG	No. 127
E_form	-390	meV/atom
DFT total energy	-26.35	eV/atom



Record 23
A crystal of MoIr2Os relaxed with PBEsol. Source: Alexandria via LeMat-Bulk, functional SCAN.

Unit cell a=2.729 b=4.359 c=4.777 alpha=90.00 beta=90.00 gamma=90.00
Atoms (fractional coordinates):
Ir: 0.000 0.500 0.712
Ir: 0.000 0.000 0.046
Mo: 0.500 0.000 0.536
Os: 0.500 0.500 0.206

## Properties
magnetic moment	0.0000	μB/atom
relative energy among the computed polymorphs	0	meV/atom
SG	No. 25
E_form	-295	meV/atom
DFT total energy	-62.54	eV/atom



Record 24
A crystal of AlRu2Cl relaxed with PBEsol. Source: Alexandria via LeMat-Bulk, functional SCAN.

Unit cell a=2.824 b=2.824 c=7.305 alpha=90.00 beta=90.00 gamma=90.00
Atoms (fractional coordinates):
Ru: 0.500 0.500 0.244
Ru: 0.000 0.000 0.018
Cl: 0.500 0.500 0.766
Al: 0.000 0.000 0.472

## Properties
raw formation energy	0.12	eV/f.u.
magnetic moment	0.0000	μB/atom
relative energy among the computed polymorphs	29	meV/atom
SG	No. 99
DFT total energy	-21.31	eV/atom



Record 25
A crystal of ZrAs2Br relaxed with PBEsol. Source: Alexandria via LeMat-Bulk, functional SCAN.

Unit cell a=2.894 b=2.894 c=11.019 alpha=90.00 beta=90.00 gamma=99.21
Atoms (fractional coordinates):
Zr: 0.500 0.500 0.000
As: 0.000 0.000 0.809
As: 0.000 0.000 0.191
Br: 0.500 0.500 0.500

## Properties
raw formation energy	-1.08	eV/f.u.
magnetic moment	0.0000	μB/atom
relative energy among the computed polymorphs	445	meV/atom
SG	No. 65
DFT total energy	-22.91	eV/atom